Entry from the Alexandria database: a geometry-optimized BaLa3Ni2O8 structure (GGA+U).

Cell: 5.522 5.485 12.870 Å, 90.00 90.00 90.00°
Space group Amm2 (No. 38)
Inequivalent atoms, fractional coordinates:
Ba 0.000 0.000 0.000 [2 per cell]
La 0.000 0.000 0.719 [2 per cell]
La 0.500 0.000 0.216 [2 per cell]
La 0.500 0.000 0.493 [2 per cell]
Ni 0.000 0.000 0.357 [2 per cell]
Ni 0.500 0.000 0.859 [2 per cell]
O 0.000 0.000 0.198 [2 per cell]
O 0.000 0.000 0.533 [2 per cell]
O 0.262 0.249 0.349 [8 per cell]
O 0.500 0.000 0.032 [2 per cell]
O 0.500 0.000 0.673 [2 per cell]

Values from the calculation:
mass density = 6.8 g/cm³
magnetization = 6.0 Bohr magnetons per cell
energy = -6.896 eV per atom